! ZrSi3Ir (GGA-PBEsol, relaxed); values from VASP
&SYSTEM
  ibrav = 0, nat = 5, ntyp = 3
/
ATOMIC_SPECIES
Zr 91.22 Zr.upf
Si 28.09 Si.upf
Ir 192.22 Ir.upf
CELL_PARAMETERS angstrom
4.803 0.000 0.000
0.000 4.803 0.000
0.000 0.000 4.803
ATOMIC_POSITIONS angstrom
Zr 0.000 0.000 0.000
Si 0.000 0.000 2.401
Si 0.000 2.401 0.000
Si 2.401 0.000 0.000
Ir 2.401 2.401 2.401
! - VASP energy (eV per atom) = -5.56
! - SG = Pm-3m
! - V (Å³/cell) = 110.8
! - formation energy (no corrections) (eV per atom) = 1.67